The following is a PBE calculation of a relaxed structure of Sm2DyIn2Hg2, from the Alexandria database.

Output
Formation enthalpy at 0 K ... -0.269 eV/atom

```
Sm2DyIn2Hg2
1.0
2.4758 1.4294 9.0318
-2.4758 1.4294 9.0318
0.0000 -2.8588 9.0318
Sm Dy In Hg
2 1 2 2
direct
0.1291 0.1291 0.1291
0.8709 0.8709 0.8709
0.0000 0.0000 0.0000
0.2706 0.2706 0.2706
0.7294 0.7294 0.7294
0.4163 0.4163 0.4163
0.5837 0.5837 0.5837
```



The following is a PBE calculation of a relaxed structure of U4HS5, from the Alexandria database.

```
U4HS5
1.0
8.3618 -1.9191 0.0000
8.3618 1.9191 0.0000
-1.9847 0.0000 7.2151
U H S
4 1 5
direct
0.0039 0.0039 0.2638
0.3385 0.3385 0.4115
0.6615 0.6615 0.5885
0.9961 0.9961 0.7362
0.5000 0.5000 0.5000
0.1615 0.1615 0.8341
0.1724 0.1724 0.3338
0.5000 0.5000 0.0000
0.8276 0.8276 0.6662
0.8385 0.8385 0.1659
```



The following is a PBE calculation of a relaxed structure of CsAsH, from the Alexandria database.

Output
Energy above the most stable polymorph in this dataset ... 29.8 kJ per mole of atoms

```
CsAsH
1.0
5.2361 0.0000 0.0000
0.0000 5.2361 0.0000
0.0000 0.0000 8.3922
Cs As H
2 2 2
direct
0.0000 0.0000 0.0000
0.5000 0.5000 0.5000
0.0000 0.0000 0.4420
0.5000 0.5000 0.9420
0.0000 0.0000 0.6270
0.5000 0.5000 0.1270
```



The following is a PBE calculation of a relaxed structure of Er7Tl5, from the Alexandria database.

Output
Formation enthalpy at 0 K ... -0.197 eV/atom

```
Er7Tl5
1.0
6.0879 -2.5027 0.0000
6.0879 2.5027 0.0000
-4.1679 0.0000 11.2252
Er Tl
7 5
direct
0.0000 0.0000 0.0000
0.1436 0.1436 0.7843
0.1502 0.1502 0.5017
0.4268 0.4268 0.7367
0.5732 0.5732 0.2633
0.8498 0.8498 0.4983
0.8564 0.8564 0.2157
0.2341 0.2341 0.2817
0.3470 0.3470 0.0303
0.5000 0.5000 0.5000
0.6530 0.6530 0.9697
0.7659 0.7659 0.7183
```



The following is a PBE calculation of a relaxed structure of NdMgTl6, from the Alexandria database.

Output
Formation enthalpy at 0 K ... -0.095 eV/atom

```
NdMgTl6
1.0
9.3170 0.0000 0.0000
0.0000 10.1536 0.0000
0.0000 0.0000 4.7775
Nd Mg Tl
2 2 12
direct
0.0000 0.0000 0.0000
0.5000 0.5000 0.0000
0.0000 0.5000 0.0000
0.5000 0.0000 0.0000
0.0000 0.2400 0.5000
0.0000 0.7600 0.5000
0.2300 0.5000 0.5000
0.2500 0.2500 0.0000
0.2500 0.7500 0.0000
0.2700 0.0000 0.5000
0.5000 0.2600 0.5000
0.5000 0.7400 0.5000
0.7300 0.0000 0.5000
0.7500 0.2500 0.0000
0.7500 0.7500 0.0000
0.7700 0.5000 0.5000
```



The following is a PBE calculation of a relaxed structure of PmTiAu, from the Alexandria database.

Output
Formation enthalpy at 0 K ... -0.392 eV/atom

```
PmTiAu
1.0
4.4650 0.0000 0.0000
0.0000 4.4650 0.0000
0.0000 0.0000 7.0647
Pm Ti Au
2 2 2
direct
0.2500 0.2500 0.1406
0.7500 0.7500 0.8594
0.2500 0.7500 0.5000
0.7500 0.2500 0.5000
0.2500 0.2500 0.7207
0.7500 0.7500 0.2793
```



The following is a PBE calculation of a relaxed structure of Zr2Ag, from the Alexandria database.

Output
Formation enthalpy at 0 K ... 0.143 eV/atom

```
Zr2Ag
1.0
3.0369 0.0000 0.0000
0.0000 3.0369 0.0000
0.0000 0.0000 27.9391
Zr Ag
8 4
direct
0.0000 0.2500 0.2970
0.0000 0.2500 0.4530
0.0000 0.7500 0.5470
0.0000 0.7500 0.7030
0.5000 0.2500 0.0470
0.5000 0.2500 0.2030
0.5000 0.7500 0.7970
0.5000 0.7500 0.9530
0.0000 0.2500 0.8750
0.0000 0.7500 0.1250
0.5000 0.2500 0.6250
0.5000 0.7500 0.3750
```



The following is a PBE calculation of a relaxed structure of LiInGeRh, from the Alexandria database.

Output
Formation enthalpy at 0 K ... -0.363 eV/atom

```
LiInGeRh
1.0
6.3527 0.0000 0.0000
0.0000 6.3527 0.0000
0.0000 0.0000 6.3527
Li In Ge Rh
4 4 4 4
direct
0.0000 0.0000 0.0000
0.0000 0.5000 0.5000
0.5000 0.0000 0.5000
0.5000 0.5000 0.0000
0.2500 0.2500 0.2500
0.2500 0.7500 0.7500
0.7500 0.2500 0.7500
0.7500 0.7500 0.2500
0.2500 0.2500 0.7500
0.2500 0.7500 0.2500
0.7500 0.2500 0.2500
0.7500 0.7500 0.7500
0.0000 0.0000 0.5000
0.0000 0.5000 0.0000
0.5000 0.0000 0.0000
0.5000 0.5000 0.5000
```



| no. | E (eV per cell) | ρ (g/cm³) | size of the total moment (μB/f.u.) |
| --- | --- | --- | --- |
| 1 | -22.00 | 9.473 | 0.00 |
| 2 | -78.66 | 7.985 | 12.05 |
| 3 | -17.69 | 3.014 | 1.00 |
| 4 | -46.13 | 10.645 | 0.00 |
| 5 | -42.65 | 10.250 | 0.00 |
| 6 | -34.20 | 9.192 | 0.43 |
| 7 | -78.08 | 7.483 | 0.00 |
| 8 | -72.29 | 7.703 | 0.00 |